1.
## TbSm4Dy2Ho (GGA-PBE)

Data for TbSm4Dy2Ho after structural relaxation.

a b c (Å): 6.2072 3.5901 11.8636
angles (deg): 90.00 100.20 90.00
Space group P2/m (No. 10)
Inequivalent atoms, fractional coordinates:
Tb 0.0000 0.0000 0.0000
Sm 0.2501 0.0000 0.7496
Sm 0.2500 0.5000 0.2504
Dy 0.5000 0.0000 0.5000
Dy 0.5000 0.5000 0.0000
Ho 0.0000 0.5000 0.5000

Properties
Mass density (Mg/m³): 8.0
N(E_F) (states/eV/atom): 1.358
Total energy (eV/atom): -4.6448
Formation enthalpy at 0 K (eV/f.u.): 0.13

***

2.
## Tb2SmDy5Ho (GGA-PBE)

Data for Tb2SmDy5Ho after structural relaxation.

a b c (Å): 8.8587 8.8587 14.8457
angles (deg): 90.00 90.00 90.00
Space group I4/mcm (No. 140)
Inequivalent atoms, fractional coordinates:
Tb 0.1137 0.3863 0.0000
Sm 0.0000 0.0000 0.2500
Dy 0.0000 0.0000 0.0000
Dy 0.2062 0.2938 0.3660
Ho 0.0000 0.5000 0.2500

Properties
Mass density (Mg/m³): 8.2
N(E_F) (states/eV/atom): 1.282
Total energy (eV/atom): -4.3255
Formation enthalpy at 0 K (eV/f.u.): 2.64

***

3.
## Tb5SmDy2Ho (GGA-PBE)

Data for Tb5SmDy2Ho after structural relaxation.

a b c (Å): 5.6103 19.8575 10.5655
angles (deg): 90.00 90.00 90.00
Space group Cmc2_1 (No. 36)
Inequivalent atoms, fractional coordinates:
Tb 0.0000 0.0179 0.0000
Tb 0.0000 0.2811 0.2890
Tb 0.0000 0.2988 0.6851
Tb 0.0000 0.3875 0.9995
Tb 0.0000 0.4793 0.7155
Sm 0.0000 0.4145 0.4314
Dy 0.0000 0.1112 0.7124
Dy 0.0000 0.1140 0.2952
Ho 0.0000 0.1997 0.9886

Properties
Mass density (Mg/m³): 8.1
N(E_F) (states/eV/atom): 1.595
Total energy (eV/atom): -4.4739
Formation enthalpy at 0 K (eV/f.u.): 1.39

***

4.
## TbSmDy4Ho2 (GGA-PBE)

Data for TbSmDy4Ho2 after structural relaxation.

a b c (Å): 5.0165 5.0165 10.0389
angles (deg): 90.00 90.00 90.00
Space group P4/mmm (No. 123)
Inequivalent atoms, fractional coordinates:
Tb 0.0000 0.0000 0.0000
Sm 0.5000 0.5000 0.5000
Dy 0.0000 0.5000 0.2490
Ho 0.0000 0.0000 0.5000
Ho 0.5000 0.5000 0.0000

Properties
Mass density (Mg/m³): 8.5
N(E_F) (states/eV/atom): 1.316
Total energy (eV/atom): -4.5969
Formation enthalpy at 0 K (eV/f.u.): 0.14

***

5.
## Tb6SmDy2Ho3 (GGA-PBE)

Data for Tb6SmDy2Ho3 after structural relaxation.

a b c (Å): 6.1547 10.6510 11.7735
angles (deg): 90.00 99.97 90.00
Space group C2/m (No. 12)
Inequivalent atoms, fractional coordinates:
Tb 0.2491 0.1669 0.2486
Tb 0.2503 0.0000 0.7512
Sm 0.0000 0.5000 0.5000
Dy 0.0000 0.1668 0.5000
Ho 0.0000 0.0000 0.0000
Ho 0.0000 0.3332 0.0000

Properties
Mass density (Mg/m³): 8.4
N(E_F) (states/eV/atom): 1.279
Total energy (eV/atom): -4.6048
Formation enthalpy at 0 K (eV/f.u.): 0.18

***

6.
## TbSmDy5Ho2 (GGA-PBE)

Data for TbSmDy5Ho2 after structural relaxation.

a b c (Å): 5.5940 19.8013 10.5495
angles (deg): 90.00 90.00 90.00
Space group Cmc2_1 (No. 36)
Inequivalent atoms, fractional coordinates:
Tb 0.0000 0.2000 0.0000
Sm 0.0000 0.4153 0.4415
Dy 0.0000 0.0178 0.0131
Dy 0.0000 0.2815 0.2992
Dy 0.0000 0.2988 0.6967
Dy 0.0000 0.3892 0.0117
Dy 0.0000 0.4786 0.7261
Ho 0.0000 0.1104 0.7245
Ho 0.0000 0.1139 0.3075

Properties
Mass density (Mg/m³): 8.3
N(E_F) (states/eV/atom): 1.588
Total energy (eV/atom): -4.4557
Formation enthalpy at 0 K (eV/f.u.): 1.41

***

7.
## TbSm3DyHo (GGA-PBE)

Data for TbSm3DyHo after structural relaxation.

a b c (Å): 5.0653 15.2162 10.1362
angles (deg): 90.00 90.00 90.00
Space group Cmcm (No. 63)
Inequivalent atoms, fractional coordinates:
Tb 0.0000 0.1656 0.2500
Sm 0.0000 0.1660 0.7500
Sm 0.0000 0.3343 0.9998
Dy 0.0000 0.0000 0.0000
Ho 0.0000 0.4995 0.7500

Properties
Mass density (Mg/m³): 8.0
N(E_F) (states/eV/atom): 1.390
Total energy (eV/atom): -4.6436
Formation enthalpy at 0 K (eV/f.u.): 0.11

***

8.
## TbSmDyHo3 (GGA-PBE)

Data for TbSmDyHo3 after structural relaxation.

a b c (Å): 18.8355 5.6989 7.1835
angles (deg): 90.00 90.07 90.00
Space group C2/m (No. 12)
Inequivalent atoms, fractional coordinates:
Tb 0.1480 0.0000 0.0379
Sm 0.0436 0.5000 0.2508
Dy 0.1483 0.0000 0.4611
Ho 0.0230 0.0000 0.7491
Ho 0.1682 0.5000 0.7486
Ho 0.2175 0.5000 0.2502

Properties
Mass density (Mg/m³): 8.3
N(E_F) (states/eV/atom): 1.615
Total energy (eV/atom): -4.4133
Formation enthalpy at 0 K (eV/f.u.): 1.21